8
Lattice="6.1050 0.0000 0.0000 0.0000 6.1050 0.0000 3.0525 3.0525 5.6107" Properties=species:S:1:pos:R:3 comment="ZnPdBr2 (GGA-PBE, relaxed)" energy_ev_per_atom=-2.60 space_group="I-42d (122)" relative_energy_mev_per_atom=0 magmom_total_mub_per_fu=0.00 pbc="T T T"
Pd 6.1050 3.0525 2.8053
Pd 0.0000 0.0000 0.0000
Br 1.6368 4.5787 1.4027
Br 4.5787 4.6893 4.2080
Br 4.4682 1.5262 1.4027
Br 7.6312 7.5207 4.2080
Zn 3.0525 3.0525 0.0000
Zn 3.0525 6.1050 2.8053

8
Lattice="-3.3184 -0.1747 -2.9697 -3.8621 -1.9408 1.0856 -7.4333 12.0511 4.2515" Properties=species:S:1:pos:R:3 comment="Cd4TeSe3 (GGA-PBE, relaxed)" energy_ev_per_atom=-2.73 space_group="R3m (160)" relative_energy_mev_per_atom=5 magmom_total_mub_per_fu=0.00 pbc="T T T"
Te -7.4214 12.0207 4.2399
Cd -2.7686 0.2454 -0.2644
Cd -6.3799 2.6215 0.2862
Cd -6.4317 9.5171 3.2823
Cd -9.9959 5.0084 0.8408
Se -7.3102 4.9759 1.1868
Se -10.9259 7.3643 1.7421
Se -3.6946 2.5882 0.6317

5
Lattice="4.7478 0.0000 0.0000 0.0000 4.8470 0.0000 0.0000 0.0000 4.7478" Properties=species:S:1:pos:R:3 comment="HfTiOsRh2 (GGA-PBE, relaxed)" energy_ev_per_atom=-7.79 space_group="P4/mmm (123)" ef_mev_per_atom=967 magmom_total_mub_per_fu=2.07 pbc="T T T"
Rh 2.3739 0.0000 0.0000
Rh 0.0000 0.0000 2.3739
Os 0.0000 0.0000 0.0000
Ti 2.3739 2.4235 2.3739
Hf 0.0000 2.4235 0.0000

5
Lattice="-1.6055 5.4163 0.3336 -5.3685 -1.5346 -0.9220 -0.7920 -0.5780 5.5735" Properties=species:S:1:pos:R:3 comment="La3HgSe (GGA-PBE, relaxed)" energy_ev_per_atom=-4.36 space_group="Pm-3m (221)" relative_energy_mev_per_atom=0 magmom_total_mub_per_fu=0.00 pbc="T T T"
La -0.8028 2.7081 0.1668
La -2.6842 -0.7673 -0.4610
La -0.3960 -0.2890 2.7868
Hg -3.8830 1.6519 2.4925
Se 0.0000 0.0000 0.0000